Record 1
The following is a PBE calculation of an optimized crystal structure of AlFeTe2, from Alexandria via LeMat-Bulk.

- E_form (uncorrected) (eV per atom) = 0.647
- Fermi-level density of states (states/eV/cell) = 16.714

Cell lengths 7.072, 7.072, 7.072 Å; angles 90.00, 90.00, 90.00 degrees
Space group F-43m (No. 216)
Unique sites:
Al1 0.000 0.000 0.000 x4
Fe1 0.250 0.250 0.750 x4
Te1 0.000 0.000 0.500 x4
Te2 0.250 0.250 0.250 x4

---

Record 2
The following is a PBE calculation of an optimized crystal structure of Sm3Sn4Ru2, from Alexandria via LeMat-Bulk.

- E (eV per atom) = -5.98
- Fermi-level density of states (states/eV/cell) = 11.461

Cell lengths 11.254, 4.747, 8.736 Å; angles 90.00, 108.80, 90.00 degrees
Space group C2/m (No. 12)
Unique sites:
Sm1 0.000 0.000 0.000 x2
Sm2 0.128 0.500 0.687 x4
Sn1 0.091 0.000 0.397 x4
Sn2 0.209 0.500 0.081 x4
Ru1 0.182 0.500 0.370 x4

---

Record 3
The following is a PBE calculation of an optimized crystal structure of TaFe9Mo2, from Alexandria via LeMat-Bulk.

- E (eV per atom) = -9.11
- Fermi-level density of states (states/eV/cell) = 36.331

Cell lengths 4.7006, 4.7006, 22.9129 Å; angles 90.00, 90.00, 120.00 degrees
Space group R-3m (No. 166, hexagonal axes)
Unique sites:
Ta1 0.0000 0.0000 0.0000 x3
Fe1 0.0000 0.0000 0.3352 x6
Fe2 0.0000 0.0000 0.5000 x3
Fe3 0.0077 0.5039 0.9151 x18
Mo1 0.0000 0.0000 0.1388 x6

---

Record 4
The following is a PBE calculation of an optimized crystal structure of CaAgAsO4, from Alexandria via LeMat-Bulk.

- E_form (uncorrected) (eV per atom) = -1.648
- offset from the most stable computed form (eV per atom) = 0.000

Cell lengths 5.935, 9.547, 7.155 Å; angles 90.00, 90.00, 90.00 degrees
Space group Cmcm (No. 63)
Unique sites:
Ca1 0.000 0.000 0.000 x4
Ag1 0.000 0.315 0.250 x4
As1 0.000 0.347 0.750 x4
O1 0.000 0.241 0.557 x8
O2 0.234 0.457 0.750 x8

---

Record 5
The following is a PBE calculation of an optimized crystal structure of Nd2ScP3, from Alexandria via LeMat-Bulk.

- E (eV per atom) = -6.79
- Fermi-level density of states (states/eV/cell) = 1.834

Cell lengths 4.066, 4.066, 17.080 Å; angles 90.00, 90.00, 90.00 degrees
Space group I4/mmm (No. 139)
Unique sites:
Nd1 0.000 0.000 0.165 x4
Sc1 0.000 0.000 0.500 x2
P1 0.000 0.000 0.000 x2
P2 0.000 0.000 0.341 x4

---

Record 6
The following is a PBE calculation of an optimized crystal structure of ZrTcPCl2, from Alexandria via LeMat-Bulk.

- E_form (uncorrected) (eV per atom) = 0.204
- Fermi-level density of states (states/eV/cell) = 4.046
- offset from the most stable computed form (eV per atom) = 0.000

Cell lengths 4.910, 4.910, 5.255 Å; angles 90.00, 90.00, 90.00 degrees
Space group P4/mmm (No. 123)
Unique sites:
Zr1 0.000 0.000 0.000 x1
Tc1 0.500 0.500 0.500 x1
P1 0.000 0.000 0.500 x1
Cl1 0.000 0.500 0.000 x2

---

Record 7
The following is a PBE calculation of an optimized crystal structure of Mg7Pb2, from Alexandria via LeMat-Bulk.

- E (eV per atom) = -2.07
- Fermi-level density of states (states/eV/cell) = 3.613

Cell lengths 5.8226, 5.8226, 7.5862 Å; angles 90.00, 90.00, 120.00 degrees
Space group P-31m (No. 162)
Unique sites:
Mg1 0.0000 0.0000 0.0000 x1
Mg2 0.0000 0.3290 0.6644 x6
Pb1 0.3333 0.6667 0.0000 x2

---

Record 8
The following is a PBE calculation of an optimized crystal structure of Tb2NdErSc4, from Alexandria via LeMat-Bulk.

- E (eV per atom) = -5.05
- Fermi-level density of states (states/eV/cell) = 66.520

Cell lengths 6.533, 11.306, 12.684 Å; angles 90.00, 90.00, 90.00 degrees
Space group Imma (No. 74)
Unique sites:
Tb1 0.000 0.000 0.000 x4
Tb2 0.250 0.250 0.250 x4
Nd1 0.000 0.000 0.500 x4
Er1 0.250 0.250 0.750 x4
Sc1 0.000 0.001 0.750 x8
Sc2 0.249 0.250 0.998 x8

---

Record 9
The following is a PBE calculation of an optimized crystal structure of CaPd5Au7, from Alexandria via LeMat-Bulk.

- E (eV per atom) = -4.15
- Fermi-level density of states (states/eV/cell) = 12.542

Cell lengths 5.536, 9.303, 9.294 Å; angles 90.00, 90.00, 90.00 degrees
Space group Imm2 (No. 44)
Unique sites:
Ca1 0.000 0.000 0.000 x2
Pd1 0.000 0.500 0.274 x2
Pd2 0.250 0.249 0.753 x8
Au1 0.000 0.000 0.342 x2
Au2 0.000 0.000 0.666 x2
Au3 0.000 0.289 0.502 x4
Au4 0.000 0.342 0.005 x4
Au5 0.000 0.500 0.727 x2

---

Record 10
The following is a PBE calculation of an optimized crystal structure of HoThAlHg, from Alexandria via LeMat-Bulk.

- E (eV per atom) = -4.30
- Fermi-level density of states (states/eV/cell) = 9.634

Cell lengths 7.462, 7.462, 7.462 Å; angles 90.00, 90.00, 90.00 degrees
Space group F-43m (No. 216)
Unique sites:
Ho1 0.000 0.000 0.000 x4
Th1 0.000 0.000 0.500 x4
Al1 0.250 0.250 0.250 x4
Hg1 0.250 0.250 0.750 x4